# 1
VASP calculation (PBE) on YSn after structural relaxation.

The calculation puts the spin magnetization at 1.966 μB/cell. For the density of states at the Fermi level, the calculation gives 0.824 states/eV/atom. The formation enthalpy at 0 K is -0.373 eV per atom.

The structure belongs to space group I4/m (No. 87); the cell edges are 8.834, 8.834 and 6.187 Å and the angles 90.00°, 90.00° and 90.00°. The inequivalent atoms are Y at (0.061, 0.305, 0.000) and Sn at (0.087, 0.225, 0.500).

=====

# 2
VASP calculation (PBE) on RePNO2 after structural relaxation.

The calculation puts the spin magnetization at 1.208 μB/cell. For the density of states at the Fermi level, the calculation gives 0.563 states/eV/atom. Its total energy is -35.583 eV per cell.

The structure belongs to space group P4/mmm (No. 123); the cell edges are 3.822, 3.822 and 4.082 Å and the angles 90.00°, 90.00° and 90.00°. The inequivalent atoms are Re at (0.000, 0.000, 0.000), P at (0.500, 0.500, 0.500), N at (0.000, 0.000, 0.500) and O at (0.000, 0.500, 0.000).

=====

# 3
VASP calculation (PBE) on InAg2Se2Cl2 after structural relaxation.

The calculation puts the spin magnetization at 0.000 μB/cell. For the density of states at the Fermi level, the calculation gives 0.315 states/eV/atom. Its total energy is -22.130 eV per cell.

The structure belongs to space group P-1 (No. 2); the cell edges are 4.391, 6.547 and 7.732 Å and the angles 114.06°, 105.88° and 90.65°. The inequivalent atoms are In at (0.000, 0.000, 0.000), Ag at (0.308, 0.550, 0.619), Se at (0.106, 0.444, 0.203) and Cl at (0.394, 0.035, 0.781).